Entry 1:
TaMo3W4 PBE relaxed; final energy = -11.40 eV per atom; space group = Pmn2_1, No. 31
1.0
5.1545 0.0000 0.0000
0.0000 9.8723 0.0000
0.0000 0.0000 5.4141
Ta Mo W
2 6 8
Direct
0.0000 0.1202 0.0000
0.5000 0.8798 0.5000
0.0000 0.8716 0.8051
0.2496 0.3656 0.6508
0.2504 0.6344 0.1508
0.5000 0.1284 0.3051
0.7504 0.3656 0.6508
0.7496 0.6344 0.1508
0.0000 0.1214 0.5000
0.0000 0.8728 0.3053
0.2479 0.3631 0.1494
0.2521 0.6369 0.6494
0.5000 0.1272 0.8053
0.5000 0.8786 0.0000
0.7479 0.6369 0.6494
0.7521 0.3631 0.1494

Entry 2:
TaMo5W6 PBE relaxed; final energy = -12.02 eV per atom; space group = Immm, No. 71
1.0
-2.2527 3.1873 6.7503
2.2527 -3.1873 6.7503
2.2527 3.1873 -6.7503
Ta Mo W
1 5 6
Direct
0.0000 0.0000 0.0000
0.1673 0.6673 0.5000
0.3332 0.3332 0.0000
0.5000 0.0000 0.5000
0.6668 0.6668 0.0000
0.8327 0.3327 0.5000
0.0835 0.8322 0.2513
0.2529 0.5000 0.7529
0.4192 0.1678 0.2513
0.5808 0.8322 0.7487
0.7471 0.5000 0.2471
0.9165 0.1678 0.7487

Entry 3:
TaMo8W2 PBE relaxed; final energy = -11.38 eV per atom; space group = C2/m, No. 12
1.0
6.5512 -2.2477 0.0000
6.5512 2.2477 0.0000
-3.4774 0.0000 5.9958
Ta Mo W
1 8 2
Direct
0.0000 0.0000 0.0000
0.0909 0.0909 0.4558
0.1828 0.1828 0.9078
0.3620 0.3620 0.8167
0.4550 0.4550 0.2739
0.5450 0.5450 0.7261
0.6380 0.6380 0.1833
0.8172 0.8172 0.0922
0.9091 0.9091 0.5442
0.2719 0.2719 0.3631
0.7281 0.7281 0.6369

Entry 4:
TaMo8W4 PBE relaxed; final energy = -11.02 eV per atom; space group = C2/m, No. 12
1.0
4.4304 -3.1526 0.0000
4.4304 3.1526 0.0000
-0.0459 0.0000 8.3873
Ta Mo W
1 8 4
Direct
0.0000 0.0000 0.0000
0.2438 0.2438 0.2289
0.2463 0.2463 0.7718
0.2595 0.7378 0.2382
0.2622 0.7405 0.7618
0.7378 0.2595 0.2382
0.7405 0.2622 0.7618
0.7537 0.7537 0.2282
0.7562 0.7562 0.7711
0.0000 0.0000 0.5000
0.0000 0.5000 0.5000
0.5000 0.0000 0.5000
0.5000 0.5000 0.5000

Number 1: total magnetization 0.00 μB/f.u., formation enthalpy at 0 K 0.616 eV per atom. Number 2: total magnetization 0.00 μB/f.u., formation enthalpy at 0 K -0.045 eV per atom. Number 3: total magnetization 0.00 μB/f.u., formation enthalpy at 0 K -0.068 eV per atom. Number 4: total magnetization 0.00 μB/f.u., formation enthalpy at 0 K 0.547 eV per atom.